one:
{
  "formula": "KIrRu2",
  "functional": "GGA-PBEsol",
  "state": "relaxed",
  "spacegroup": "P4/mmm (123)",
  "lattice_angstrom": [[3.0764, 0.0000, 0.0000], [0.0000, 3.0764, 0.0000], [0.0000, 0.0000, 8.0467]],
  "species": ["K", "Ir", "Ru", "Ru"],
  "fractional_positions": [[0.0000, 0.0000, 0.0000], [0.0000, 0.0000, 0.5000], [0.5000, 0.5000, 0.3315], [0.5000, 0.5000, 0.6685]]
}

two:
{
  "formula": "KIrRu2",
  "functional": "GGA-PBEsol",
  "state": "relaxed",
  "spacegroup": "Immm (71)",
  "lattice_angstrom": [[-1.3365, 2.4840, 5.0914], [1.3365, -2.4840, 5.0914], [1.3365, 2.4840, -5.0914]],
  "species": ["K", "Ir", "Ru", "Ru"],
  "fractional_positions": [[0.0000, 0.0000, 0.0000], [0.5000, 0.5000, 0.0000], [0.2857, 0.7857, 0.5000], [0.7143, 0.2143, 0.5000]]
}

three:
{
  "formula": "KIrRu2",
  "functional": "GGA-PBEsol",
  "state": "relaxed",
  "spacegroup": "Cmm2 (35)",
  "lattice_angstrom": [[1.3830, -2.3100, 0.0000], [1.3830, 2.3100, 0.0000], [0.0000, 0.0000, 10.0542]],
  "species": ["K", "Ir", "Ru", "Ru"],
  "fractional_positions": [[0.0000, 0.0000, 0.0000], [0.5000, 0.5000, 0.7241], [0.0000, 0.0000, 0.4990], [0.5000, 0.5000, 0.2858]]
}

four:
{
  "formula": "KIrRu2",
  "functional": "GGA-PBEsol",
  "state": "relaxed",
  "spacegroup": "I-4m2 (119)",
  "lattice_angstrom": [[-2.1255, 2.1255, 3.4657], [2.1255, -2.1255, 3.4657], [2.1255, 2.1255, -3.4657]],
  "species": ["K", "Ir", "Ru", "Ru"],
  "fractional_positions": [[0.0000, 0.0000, 0.0000], [0.2500, 0.7500, 0.5000], [0.5000, 0.5000, 0.0000], [0.7500, 0.2500, 0.5000]]
}

Most favorable first, least favorable last: three, one, two, four